(1)
Entry from Alexandria via LeMat-Bulk: a relaxed structure of Sr3Li4Ag4 (PBE-GGA).

Output
Density of states at the Fermi level in states/eV/atom: 0.436
Symmetry: Immm (71)
Total magnetization in μB per atom: 0.000
Energy relative to the lowest polymorph listed for this composition in meV/atom: 0
Uncorrected energy in eV per atom: -2.407

Unit cell a=9.0505 b=9.0505 c=9.0505 alpha=150.82 beta=128.46 gamma=60.32
Sites, in units of the cell vectors:
1 Sr 0.0000 0.0000 0.0000
2 Sr 0.3734 0.8734 0.5000
3 Sr 0.6266 0.1266 0.5000
4 Li 0.0160 0.3254 0.6906
5 Li 0.3652 0.6746 0.6906
6 Li 0.6348 0.3254 0.3094
7 Li 0.9840 0.6746 0.3094
8 Ag 0.2159 0.2159 0.0000
9 Ag 0.3149 0.5000 0.8149
10 Ag 0.6851 0.5000 0.1851
11 Ag 0.7841 0.7841 0.0000

(2)
Entry from Alexandria via LeMat-Bulk: a relaxed structure of HfMn (PBE-GGA).

Output
Density of states at the Fermi level in states/eV/atom: 1.259
Symmetry: Fm-3m (225)
Total magnetization in μB per atom: 1.073
Uncorrected energy in eV per atom: -8.982

Unit cell a=3.7424 b=3.7424 c=3.7424 alpha=60.00 beta=60.00 gamma=60.00
Sites, in units of the cell vectors:
1 Hf 0.0000 0.0000 0.0000
2 Mn 0.5000 0.5000 0.5000

(3)
Entry from Alexandria via LeMat-Bulk: a relaxed structure of HoSn6 (PBE-GGA).

Output
Density of states at the Fermi level in states/eV/atom: 0.883
Symmetry: Im-3m (229)
Total magnetization in μB per atom: 0.000
Uncorrected energy in eV per atom: -3.675

Unit cell a=6.9970 b=6.9970 c=6.9970 alpha=109.47 beta=109.47 gamma=109.47
Sites, in units of the cell vectors:
1 Ho 0.0000 0.0000 0.0000
2 Sn 0.2500 0.5000 0.7500
3 Sn 0.2500 0.7500 0.5000
4 Sn 0.5000 0.2500 0.7500
5 Sn 0.5000 0.7500 0.2500
6 Sn 0.7500 0.2500 0.5000
7 Sn 0.7500 0.5000 0.2500

(4)
Entry from Alexandria via LeMat-Bulk: a relaxed structure of Rh2PbO5 (PBE-GGA).

Output
E_form (uncorrected) in eV/atom: -0.7746
Density of states at the Fermi level in states/eV/atom: 0.562
Symmetry: Cmcm (63)
Total magnetization in μB per atom: 0.000
Uncorrected energy in eV per atom: -6.175

Unit cell a=5.5756 b=5.5756 c=9.9143 alpha=90.00 beta=90.00 gamma=137.91
Sites, in units of the cell vectors:
1 Rh 0.1422 0.8578 0.5556
2 Rh 0.1422 0.8578 0.9444
3 Rh 0.8578 0.1422 0.0556
4 Rh 0.8578 0.1422 0.4444
5 Pb 0.4195 0.5805 0.7500
6 Pb 0.5805 0.4195 0.2500
7 O 0.0441 0.9559 0.1167
8 O 0.0441 0.9559 0.3833
9 O 0.2084 0.7916 0.7500
10 O 0.3277 0.6723 0.0170
11 O 0.3277 0.6723 0.4830
12 O 0.6723 0.3277 0.5170
13 O 0.6723 0.3277 0.9830
14 O 0.7916 0.2084 0.2500
15 O 0.9559 0.0441 0.6167
16 O 0.9559 0.0441 0.8833

(5)
Entry from Alexandria via LeMat-Bulk: a relaxed structure of TaTl2I2Cl4 (PBE-GGA).

Output
E_form (uncorrected) in eV/atom: -0.9592
Density of states at the Fermi level in states/eV/atom: 0.543
Symmetry: C2/m (12)
Total magnetization in μB per atom: 0.111
Uncorrected energy in eV per atom: -3.967

Unit cell a=7.6679 b=7.6679 c=7.3302 alpha=117.33 beta=117.33 gamma=56.50
Sites, in units of the cell vectors:
1 Ta 0.0000 0.0000 0.0000
2 Tl 0.2569 0.2569 0.8160
3 Tl 0.7431 0.7431 0.1840
4 I 0.2414 0.2414 0.3029
5 I 0.7586 0.7586 0.6971
6 Cl 0.2043 0.7363 0.1993
7 Cl 0.2637 0.7957 0.8007
8 Cl 0.7363 0.2043 0.1993
9 Cl 0.7957 0.2637 0.8007

(6)
Entry from Alexandria via LeMat-Bulk: a relaxed structure of TaHgAs2 (PBE-GGA).

Output
Density of states at the Fermi level in states/eV/atom: 0.615
Symmetry: I4mm (107)
Total magnetization in μB per atom: 0.000
Uncorrected energy in eV per atom: -5.456

Unit cell a=7.7412 b=7.7412 c=7.7412 alpha=154.92 beta=154.92 gamma=35.77
Sites, in units of the cell vectors:
1 Ta 0.0000 0.0000 0.0000
2 Hg 0.7799 0.7799 0.0000
3 As 0.4085 0.4085 0.0000
4 As 0.5979 0.5979 0.0000

(7)
Entry from Alexandria via LeMat-Bulk: a relaxed structure of AcSi2AgAu5 (PBE-GGA).

Output
E_form (uncorrected) in eV/atom: -0.2437
Density of states at the Fermi level in states/eV/atom: 0.438
Symmetry: P4/mmm (123)
Total magnetization in μB per atom: 0.000
Uncorrected energy in eV per atom: -4.043

Unit cell a=4.6293 b=4.6293 c=9.5907 alpha=90.00 beta=90.00 gamma=90.00
Sites, in units of the cell vectors:
1 Ac 0.0000 0.0000 0.0000
2 Si 0.5000 0.5000 0.2479
3 Si 0.5000 0.5000 0.7521
4 Ag 0.0000 0.0000 0.5000
5 Au 0.0000 0.5000 0.3266
6 Au 0.0000 0.5000 0.6734
7 Au 0.5000 0.0000 0.3266
8 Au 0.5000 0.0000 0.6734
9 Au 0.5000 0.5000 0.0000

(8)
Entry from Alexandria via LeMat-Bulk: a relaxed structure of LiY2MgO (PBE-GGA).

Output
E_form (uncorrected) in eV/atom: -1.1085
Density of states at the Fermi level in states/eV/atom: 1.045
Symmetry: P4/mmm (123)
Total magnetization in μB per atom: 0.000
Energy relative to the lowest polymorph listed for this composition in meV/atom: 0
Uncorrected energy in eV per atom: -5.388

Unit cell a=4.8217 b=4.8217 c=4.3615 alpha=90.00 beta=90.00 gamma=90.00
Sites, in units of the cell vectors:
1 Li 0.0000 0.0000 0.0000
2 Y 0.0000 0.5000 0.5000
3 Y 0.5000 0.0000 0.5000
4 Mg 0.5000 0.5000 0.0000
5 O 0.0000 0.0000 0.5000

(9)
Entry from Alexandria via LeMat-Bulk: a relaxed structure of Ca2PPb (PBE-GGA).

Output
Density of states at the Fermi level in states/eV/atom: 0.443
Symmetry: I-42d (122)
Total magnetization in μB per atom: 0.000
Energy relative to the lowest polymorph listed for this composition in meV/atom: 180
Uncorrected energy in eV per atom: -3.789

Unit cell a=6.7730 b=6.7730 c=6.7730 alpha=104.54 beta=104.54 gamma=119.87
Sites, in units of the cell vectors:
1 Ca 0.0703 0.6250 0.9453
2 Ca 0.3750 0.3203 0.4453
3 Ca 0.6797 0.1250 0.0547
4 Ca 0.8750 0.9297 0.5547
5 P 0.0000 0.0000 0.0000
6 P 0.7500 0.2500 0.5000
7 Pb 0.2500 0.7500 0.5000
8 Pb 0.5000 0.5000 0.0000

(10)
Entry from Alexandria via LeMat-Bulk: a relaxed structure of ScRe2 (PBE-GGA).

Output
Density of states at the Fermi level in states/eV/atom: 0.693
Symmetry: Fd-3m (227)
Total magnetization in μB per atom: 0.000
Uncorrected energy in eV per atom: -10.717

Unit cell a=5.2844 b=5.2844 c=5.2844 alpha=60.00 beta=60.00 gamma=60.00
Sites, in units of the cell vectors:
1 Sc 0.1250 0.1250 0.1250
2 Sc 0.8750 0.8750 0.8750
3 Re 0.0000 0.5000 0.5000
4 Re 0.5000 0.0000 0.5000
5 Re 0.5000 0.5000 0.0000
6 Re 0.5000 0.5000 0.5000

(11)
Entry from Alexandria via LeMat-Bulk: a relaxed structure of CsMgNb (PBE-GGA).

Output
Density of states at the Fermi level in states/eV/atom: 0.633
Symmetry: F-43m (216)
Total magnetization in μB per atom: 1.389
Energy relative to the lowest polymorph listed for this composition in meV/atom: 1172
Uncorrected energy in eV per atom: -2.514

Unit cell a=5.5867 b=5.5867 c=5.5867 alpha=60.00 beta=60.00 gamma=60.00
Sites, in units of the cell vectors:
1 Cs 0.0000 0.0000 0.0000
2 Mg 0.5000 0.5000 0.5000
3 Nb 0.7500 0.7500 0.7500

(12)
Entry from Alexandria via LeMat-Bulk: a relaxed structure of FeTcAgSb2 (PBE-GGA).

Output
E_form (uncorrected) in eV/atom: 1.0439
Density of states at the Fermi level in states/eV/atom: 1.025
Symmetry: P4/mmm (123)
Total magnetization in μB per atom: 0.700
Uncorrected energy in eV per atom: -4.941

Unit cell a=5.0204 b=5.0204 c=5.2572 alpha=90.00 beta=90.00 gamma=90.00
Sites, in units of the cell vectors:
1 Fe 0.0000 0.0000 0.0000
2 Tc 0.5000 0.5000 0.5000
3 Ag 0.5000 0.5000 0.0000
4 Sb 0.0000 0.5000 0.5000
5 Sb 0.5000 0.0000 0.5000

> uncorrected energy of number 10 (ScRe2)?

-10.717 eV per atom